PBE Ca4Co, optimized geometry; symmetry = I4/m (87); calculated formation energy = 158 meV per atom; offset from the most stable computed form = 48.6 meV per atom; DOS at the Fermi energy = 4.56 states/eV/f.u.; DFT total energy = -2.864 eV per atom
1.0
-4.7209 4.7209 1.8041
4.7209 -4.7209 1.8041
4.7209 4.7209 -1.8041
Ca Co
4 1
direct
0.0627 0.7547 0.8174 Ca
0.2453 0.0627 0.3080 Ca
0.7547 0.9373 0.6920 Ca
0.9373 0.2453 0.1826 Ca
0.5000 0.5000 0.0000 Co